# 1
# BaZnCr, optimized geometry, DFT GGA-PBE
data_BaZnCr
_chemical_formula_sum 'Ba2 Zn2 Cr2'
_space_group_name_H-M_alt 'I 4 m m'
_space_group_IT_number 107
_space_group_name_Hall 'I 4 -2'
_cell_length_a 3.694
_cell_length_b 3.694
_cell_length_c 11.748
_cell_angle_alpha 90.00
_cell_angle_beta 90.00
_cell_angle_gamma 90.00
loop_
_atom_site_label
_atom_site_fract_x
_atom_site_fract_y
_atom_site_fract_z
Ba1 0.000 0.000 0.000
Zn1 0.000 0.000 0.710
Cr1 0.000 0.000 0.281
# **Magnetic moment**: 8.15 μB per cell
# **ΔE to the lowest computed polymorph**: 31.1 meV per atom
# **Raw total energy**: -0.142 hartree per atom
# **E_form**: 417.4 meV/atom

***

# 2
# RbLaTcN3, optimized geometry, DFT GGA-PBE
data_RbLaTcN3
_chemical_formula_sum 'Rb4 La4 Tc4 N12'
_space_group_name_H-M_alt 'C 1 2/m 1'
_space_group_IT_number 12
_cell_length_a 14.059
_cell_length_b 3.990
_cell_length_c 8.163
_cell_angle_alpha 90.00
_cell_angle_beta 105.31
_cell_angle_gamma 90.00
loop_
_space_group_symop_operation_xyz
'x,y,z'
'-x,-y,-z'
'-x,y,-z'
'x,-y,z'
'x+1/2,y+1/2,z'
'-x+1/2,-y+1/2,-z'
'-x+1/2,y+1/2,-z'
'x+1/2,-y+1/2,z'
loop_
_atom_site_label
_atom_site_fract_x
_atom_site_fract_y
_atom_site_fract_z
Rb1 0.136 0.000 0.069
La1 0.161 0.000 0.589
Tc1 0.007 0.500 0.339
N1 0.011 0.000 0.339
N2 0.126 0.500 0.781
N3 0.153 0.500 0.378
# **Formation energy without anion corrections**: -0.40 eV per atom
# **Magnetic moment**: 0.00 μB per cell
# **Raw total energy**: -0.267 hartree per atom

***

# 3
# Pd2F3, optimized geometry, DFT GGA-PBE
data_Pd2F3
_chemical_formula_sum 'Pd12 F18'
_space_group_name_H-M_alt 'R -3 c'
_space_group_IT_number 167
_space_group_name_Hall '-R 3 2"c'
_cell_length_a 5.7494
_cell_length_b 5.7494
_cell_length_c 15.9744
_cell_angle_alpha 90.00
_cell_angle_beta 90.00
_cell_angle_gamma 120.00
loop_
_atom_site_label
_atom_site_fract_x
_atom_site_fract_y
_atom_site_fract_z
Pd1 0.0000 0.0000 0.1539
F1 0.0000 0.3130 0.2500
# **Formation energy without anion corrections**: -0.78 eV per atom
# **Magnetic moment**: 18.06 μB per cell
# **Raw total energy**: -0.146 hartree per atom

***

Number 2 is which compound? RbLaTcN3

***

Copy entry 1 word for word.
# BaZnCr, optimized geometry, DFT GGA-PBE
data_BaZnCr
_chemical_formula_sum 'Ba2 Zn2 Cr2'
_space_group_name_H-M_alt 'I 4 m m'
_space_group_IT_number 107
_space_group_name_Hall 'I 4 -2'
_cell_length_a 3.694
_cell_length_b 3.694
_cell_length_c 11.748
_cell_angle_alpha 90.00
_cell_angle_beta 90.00
_cell_angle_gamma 90.00
loop_
_atom_site_label
_atom_site_fract_x
_atom_site_fract_y
_atom_site_fract_z
Ba1 0.000 0.000 0.000
Zn1 0.000 0.000 0.710
Cr1 0.000 0.000 0.281
# **Magnetic moment**: 8.15 μB per cell
# **ΔE to the lowest computed polymorph**: 31.1 meV per atom
# **Raw total energy**: -0.142 hartree per atom
# **E_form**: 417.4 meV/atom

***

Repeat the third record exactly.
# Pd2F3, optimized geometry, DFT GGA-PBE
data_Pd2F3
_chemical_formula_sum 'Pd12 F18'
_space_group_name_H-M_alt 'R -3 c'
_space_group_IT_number 167
_space_group_name_Hall '-R 3 2"c'
_cell_length_a 5.7494
_cell_length_b 5.7494
_cell_length_c 15.9744
_cell_angle_alpha 90.00
_cell_angle_beta 90.00
_cell_angle_gamma 120.00
loop_
_atom_site_label
_atom_site_fract_x
_atom_site_fract_y
_atom_site_fract_z
Pd1 0.0000 0.0000 0.1539
F1 0.0000 0.3130 0.2500
# **Formation energy without anion corrections**: -0.78 eV per atom
# **Magnetic moment**: 18.06 μB per cell
# **Raw total energy**: -0.146 hartree per atom